1.
! Tb2PmSi2 (PBE, relaxed); values from VASP
! Energy in eV per atom: -5.620
! Formation energy (no corrections) in eV per atom: -0.649
! Size of the total moment in μB per formula unit: 0.00
&SYSTEM
  ibrav = 0, nat = 10, ntyp = 3
/
ATOMIC_SPECIES
Tb 158.93 Tb.upf
Si 28.09 Si.upf
Pm 145.00 Pm.upf
CELL_PARAMETERS angstrom
-0.6684 4.1085 -0.2500
-6.5086 -1.2916 -3.8266
-3.8476 -0.2232 6.6196
ATOMIC_POSITIONS crystal
Tb 0.5000 0.6761 0.8239
Tb 0.5000 0.1761 0.6761
Tb 0.5000 0.8239 0.3239
Tb 0.5000 0.3239 0.1761
Si 0.0000 0.8866 0.6134
Si 0.0000 0.1134 0.3866
Si 0.0000 0.3866 0.8866
Si 0.0000 0.6134 0.1134
Pm 0.0000 0.5000 0.5000
Pm 0.0000 0.0000 0.0000

***

2.
! Ba3UN4 (PBE, relaxed); values from VASP
! Energy in eV per atom: -7.145
! Formation energy (no corrections) in eV per atom: -0.850
! Size of the total moment in μB per formula unit: 0.00
&SYSTEM
  ibrav = 0, nat = 32, ntyp = 3
/
ATOMIC_SPECIES
Ba 137.33 Ba.upf
N 14.01 N.upf
U 238.03 U.upf
CELL_PARAMETERS angstrom
7.9437 0.0000 0.0000
0.0000 8.4463 0.0000
0.0000 0.0000 10.0931
ATOMIC_POSITIONS crystal
Ba 0.9853 0.7474 0.0345
Ba 0.5147 0.2474 0.9655
Ba 0.0147 0.2526 0.9655
Ba 0.4853 0.7526 0.4655
Ba 0.0147 0.2526 0.5345
Ba 0.4853 0.7526 0.0345
Ba 0.9853 0.7474 0.4655
Ba 0.7438 0.4622 0.2500
Ba 0.2438 0.0378 0.2500
Ba 0.7562 0.9622 0.7500
Ba 0.5147 0.2474 0.5345
Ba 0.2562 0.5378 0.7500
N 0.2648 0.4660 0.4488
N 0.2057 0.7100 0.2500
N 0.7352 0.5340 0.5512
N 0.7352 0.5340 0.9488
N 0.7648 0.0340 0.0512
N 0.7943 0.2900 0.7500
N 0.2648 0.4660 0.0512
N 0.2943 0.2100 0.7500
N 0.2352 0.9660 0.9488
N 0.4672 0.8003 0.7500
N 0.2352 0.9660 0.5512
N 0.7057 0.7900 0.2500
N 0.9672 0.6997 0.7500
N 0.7648 0.0340 0.4488
N 0.5328 0.1997 0.2500
N 0.0328 0.3003 0.2500
U 0.7487 0.0339 0.2500
U 0.2487 0.4661 0.2500
U 0.2513 0.9661 0.7500
U 0.7513 0.5339 0.7500